No. 1
Here is a geometry-optimized YPu3Tc2 structure from Alexandria. Energies are from PBE.

a b c (Å): 5.742 6.813 6.813
angles (deg): 104.97 90.02 90.02
Sites, in units of the cell vectors:
Y: 0.250 0.373 0.373
Y: 0.750 0.627 0.627
Pu: 0.750 0.410 0.077
Pu: 0.750 0.077 0.410
Pu: 0.250 0.590 0.923
Pu: 0.750 0.033 0.033
Pu: 0.250 0.967 0.967
Pu: 0.250 0.923 0.590
Tc: 0.500 0.736 0.264
Tc: 0.000 0.736 0.264
Tc: 0.000 0.264 0.736
Tc: 0.500 0.264 0.736

Values from the calculation:
The formation energy is 0.15 eV per formula unit.



No. 2
Here is a geometry-optimized YBi2SbS structure from Alexandria. Energies are from PBE.

a b c (Å): 5.729 5.774 5.729
angles (deg): 90.00 90.00 90.00
Sites, in units of the cell vectors:
Y: 0.000 0.500 0.000
Sb: 0.000 0.000 0.000
S: 0.500 0.500 0.500
Bi: 0.000 0.000 0.500
Bi: 0.500 0.000 0.000

Values from the calculation:
As for the formation energy (no corrections): 260 kJ/mol of formula units.



No. 3
Here is a geometry-optimized LiCa2Ga2 structure from Alexandria. Energies are from PBE.

a b c (Å): 8.569 8.569 3.550
angles (deg): 90.00 90.00 90.00
Sites, in units of the cell vectors:
Ca: 0.325 0.825 0.000
Ca: 0.825 0.675 0.000
Ca: 0.675 0.175 0.000
Ca: 0.175 0.325 0.000
Ga: 0.118 0.618 0.500
Ga: 0.618 0.882 0.500
Ga: 0.882 0.382 0.500
Ga: 0.382 0.118 0.500
Li: 0.000 0.000 0.000
Li: 0.500 0.500 0.000

Values from the calculation:
The formation energy is -0.92 eV per formula unit. The value obtained for the energy relative to the lowest polymorph listed for this composition is 0.186 eV/atom.



Number 1: M_tot 5.501 Bohr magnetons per cell, V 21.5 Å³/atom, N(E_F) 22.8 states/eV/cell. Number 2: M_tot 0.000 Bohr magnetons per cell, V 37.9 Å³/atom, N(E_F) 4.6 states/eV/cell. Number 3: M_tot 0.000 Bohr magnetons per cell, V 26.1 Å³/atom, N(E_F) 4.7 states/eV/cell.